LiU2In9: relaxed, PBE.

abc: 4.614 4.614 13.787
angles: 90.00 90.00 90.00
Positions (direct):
Li (0.000, 0.000, 0.000)
U (0.000, 0.000, 0.330)
U (0.000, 0.000, 0.670)
In (0.000, 0.500, 0.158)
In (0.000, 0.500, 0.500)
In (0.000, 0.500, 0.842)
In (0.500, 0.000, 0.158)
In (0.500, 0.000, 0.500)
In (0.500, 0.000, 0.842)
In (0.500, 0.500, 0.000)
In (0.500, 0.500, 0.333)
In (0.500, 0.500, 0.667)

Values from the calculation:
* DOS at the Fermi energy: 14.20 states/eV/cell
* total moment: 5.64 Bohr magnetons per cell
* calculated volume: 24.45 A^3/atom
* ΔH_f (0 K): -25 meV/atom